# 1
Compound: Ho2HfIn
Source: Alexandria
Functional: GGA-PBE
Structure: relaxed

Density (Mg/m³): 10.18
Space group: No. 123
Energy above the most stable polymorph in this dataset (meV/atom): 25

Cell and atoms, written as POSCAR:
```
Ho2HfIn
1.0
-1.2674 -2.6425 3.6432
-2.3674 -2.8151 -2.8655
3.8129 -2.6214 -0.5749
Ho In Hf
2 1 1
Cartesian
-1.1837 -1.4075 -1.4327
1.9065 -1.3107 -0.2874
-0.6337 -1.3213 1.8216
0.0890 -4.0395 0.1014
```

# 2
Compound: Ho2HfIn
Source: Alexandria
Functional: GGA-PBE
Structure: relaxed

Density (Mg/m³): 9.86
Space group: No. 123
Energy above the most stable polymorph in this dataset (meV/atom): 0

Cell and atoms, written as POSCAR:
```
Ho2HfIn
1.0
3.3759 0.0000 0.0000
0.0000 3.3759 0.0000
0.0000 0.0000 9.2052
In Ho Hf
1 2 1
Cartesian
1.6880 1.6880 0.0000
0.0000 0.0000 6.9097
0.0000 0.0000 2.2955
1.6880 1.6880 4.6026
```

# 3
Compound: HoHf2In
Source: Alexandria
Functional: GGA-PBE
Structure: relaxed

Density (Mg/m³): 11.30
Space group: No. 123
Energy above the most stable polymorph in this dataset (meV/atom): 0

Cell and atoms, written as POSCAR:
```
HoHf2In
1.0
4.5572 0.0000 0.0000
0.0000 4.5304 0.0000
0.0000 0.0000 4.5304
In Ho Hf
1 1 2
Cartesian
2.2786 2.2652 2.2652
2.2786 0.0000 0.0000
0.0000 2.2652 0.0000
0.0000 0.0000 2.2652
```

# 4
Compound: HoHfMgIn
Source: Alexandria
Functional: GGA-PBE
Structure: relaxed

Density (Mg/m³): 8.53
Space group: No. 216
Total DFT energy (no corrections) (eV per atom): -4.80

Cell and atoms, written as POSCAR:
```
HoHfMgIn
1.0
-2.1406 3.0851 -3.4553
-4.6433 -1.0558 -1.8341
-3.9807 2.9154 1.3011
Ho Hf Mg In
1 1 1 1
Cartesian
-2.6912 1.2362 -0.9971
-8.0735 3.7086 -2.9912
0.0000 0.0000 0.0000
-5.3823 2.4724 -1.9941
```